Compound: NiBrO
Source: the Alexandria database
Functional: GGA+U
Structure: optimized geometry

Raw total energy   -3.36 eV/atom
Symmetry   P1
Crystal system   triclinic
D(E_F)   2.62 states/eV per cell

Unit cell a=3.3335 b=5.7915 c=7.0550 alpha=69.69 beta=76.39 gamma=77.00
Last column: nearest neighbours and their distance in Å.
Sites, in units of the cell vectors:
Ni  0.0000  0.0000  0.0000  3 O 2.01-2.07
Ni  0.3008  0.1334  0.2980  3 O 1.84-1.85
Br  0.0989  0.2587  0.6012  2 Ni 2.39-2.67
Br  0.6309  0.6750  0.9934  2 Ni 2.49
O  0.4133  0.1935  0.0166  3 Ni 1.85-2.02
O  0.8539  0.9916  0.3037  2 Ni 1.84-1.85